[1]
## Sm3PbSe (PBE)

Data for a geometry-optimized Sm3PbSe structure.

Formation energy (no corrections): -0.98 eV per atom
ρ: 8.267 Mg/m³
Total DFT energy (no corrections): -104.96 eV for the cell shown

```
data_Sm3PbSe
_chemical_formula_sum 'Sm12 Pb4 Se4'
_cell_length_a 4.2982
_cell_length_b 8.8248
_cell_length_c 15.6160
_cell_angle_alpha 90.00
_cell_angle_beta 90.00
_cell_angle_gamma 90.00
_space_group_name_H-M_alt 'P 1'
_space_group_IT_number 1
loop_
_space_group_symop_operation_xyz
'x,y,z'
loop_
_atom_site_label
_atom_site_type_symbol
_atom_site_fract_x
_atom_site_fract_y
_atom_site_fract_z
Sm1 Sm 0.2500 0.6815 0.7176
Pb1 Pb 0.2500 0.5940 0.3151
Sm2 Sm 0.2500 0.4750 0.1101
Sm3 Sm 0.2500 0.3431 0.5305
Se1 Se 0.7500 0.1788 0.4459
Sm4 Sm 0.7500 0.6569 0.4695
Sm5 Sm 0.2500 0.8431 0.9695
Sm6 Sm 0.7500 0.3185 0.2824
Pb2 Pb 0.7500 0.9060 0.8151
Sm7 Sm 0.7500 0.8185 0.2176
Se2 Se 0.2500 0.3212 0.9459
Sm8 Sm 0.7500 0.5250 0.8899
Pb3 Pb 0.2500 0.0940 0.1849
Sm9 Sm 0.7500 0.1569 0.0305
Sm10 Sm 0.2500 0.9750 0.3899
Pb4 Pb 0.7500 0.4060 0.6849
Se3 Se 0.7500 0.6788 0.0541
Se4 Se 0.2500 0.8212 0.5541
Sm11 Sm 0.2500 0.1815 0.7824
Sm12 Sm 0.7500 0.0250 0.6101
```

***

[2]
## Sm2Er17 (PBE)

Data for a geometry-optimized Sm2Er17 structure.

ρ: 8.403 Mg/m³
Total DFT energy (no corrections): -81.61 eV for the cell shown

```
data_Sm2Er17
_chemical_formula_sum 'Sm2 Er17'
_cell_length_a 8.6508
_cell_length_b 8.6508
_cell_length_c 8.6508
_cell_angle_alpha 80.07
_cell_angle_beta 80.07
_cell_angle_gamma 80.07
_space_group_name_H-M_alt 'P 1'
_space_group_IT_number 1
loop_
_space_group_symop_operation_xyz
'x,y,z'
loop_
_atom_site_label
_atom_site_type_symbol
_atom_site_fract_x
_atom_site_fract_y
_atom_site_fract_z
Er1 Er 0.0983 0.0983 0.0983
Er2 Er 0.0000 0.2987 0.7013
Er3 Er 0.6336 0.6336 0.1477
Er4 Er 0.1477 0.6336 0.6336
Sm1 Sm 0.6738 0.6738 0.6738
Er5 Er 0.2987 0.0000 0.7013
Er6 Er 0.8523 0.3664 0.3664
Er7 Er 0.0000 0.5000 0.0000
Er8 Er 0.9017 0.9017 0.9017
Er9 Er 0.7013 0.0000 0.2987
Er10 Er 0.6336 0.1477 0.6336
Er11 Er 0.2987 0.7013 0.0000
Er12 Er 0.7013 0.2987 0.0000
Er13 Er 0.0000 0.0000 0.5000
Er14 Er 0.3664 0.8523 0.3664
Sm2 Sm 0.3262 0.3262 0.3262
Er15 Er 0.3664 0.3664 0.8523
Er16 Er 0.0000 0.7013 0.2987
Er17 Er 0.5000 0.0000 0.0000
```

***

[3]
## CeLu2Ga (PBE)

Data for a geometry-optimized CeLu2Ga structure.

ρ: 9.314 Mg/m³
Total DFT energy (no corrections): -18.80 eV for the cell shown

```
data_CeLu2Ga
_chemical_formula_sum 'Ce1 Lu2 Ga1'
_cell_length_a 4.5262
_cell_length_b 4.6955
_cell_length_c 4.6955
_cell_angle_alpha 90.00
_cell_angle_beta 90.00
_cell_angle_gamma 90.00
_space_group_name_H-M_alt 'P 1'
_space_group_IT_number 1
loop_
_space_group_symop_operation_xyz
'x,y,z'
loop_
_atom_site_label
_atom_site_type_symbol
_atom_site_fract_x
_atom_site_fract_y
_atom_site_fract_z
Ga1 Ga 0.5000 0.0000 0.0000
Lu1 Lu 0.0000 0.5000 0.0000
Ce1 Ce 0.5000 0.5000 0.5000
Lu2 Lu 0.0000 0.0000 0.5000
```

***

Repeat the third record exactly.
## CeLu2Ga (PBE)

Data for a geometry-optimized CeLu2Ga structure.

ρ: 9.314 Mg/m³
Total DFT energy (no corrections): -18.80 eV for the cell shown

```
data_CeLu2Ga
_chemical_formula_sum 'Ce1 Lu2 Ga1'
_cell_length_a 4.5262
_cell_length_b 4.6955
_cell_length_c 4.6955
_cell_angle_alpha 90.00
_cell_angle_beta 90.00
_cell_angle_gamma 90.00
_space_group_name_H-M_alt 'P 1'
_space_group_IT_number 1
loop_
_space_group_symop_operation_xyz
'x,y,z'
loop_
_atom_site_label
_atom_site_type_symbol
_atom_site_fract_x
_atom_site_fract_y
_atom_site_fract_z
Ga1 Ga 0.5000 0.0000 0.0000
Lu1 Lu 0.0000 0.5000 0.0000
Ce1 Ce 0.5000 0.5000 0.5000
Lu2 Lu 0.0000 0.0000 0.5000
```

***

Please write out number 1 again, unchanged.
## Sm3PbSe (PBE)

Data for a geometry-optimized Sm3PbSe structure.

Formation energy (no corrections): -0.98 eV per atom
ρ: 8.267 Mg/m³
Total DFT energy (no corrections): -104.96 eV for the cell shown

```
data_Sm3PbSe
_chemical_formula_sum 'Sm12 Pb4 Se4'
_cell_length_a 4.2982
_cell_length_b 8.8248
_cell_length_c 15.6160
_cell_angle_alpha 90.00
_cell_angle_beta 90.00
_cell_angle_gamma 90.00
_space_group_name_H-M_alt 'P 1'
_space_group_IT_number 1
loop_
_space_group_symop_operation_xyz
'x,y,z'
loop_
_atom_site_label
_atom_site_type_symbol
_atom_site_fract_x
_atom_site_fract_y
_atom_site_fract_z
Sm1 Sm 0.2500 0.6815 0.7176
Pb1 Pb 0.2500 0.5940 0.3151
Sm2 Sm 0.2500 0.4750 0.1101
Sm3 Sm 0.2500 0.3431 0.5305
Se1 Se 0.7500 0.1788 0.4459
Sm4 Sm 0.7500 0.6569 0.4695
Sm5 Sm 0.2500 0.8431 0.9695
Sm6 Sm 0.7500 0.3185 0.2824
Pb2 Pb 0.7500 0.9060 0.8151
Sm7 Sm 0.7500 0.8185 0.2176
Se2 Se 0.2500 0.3212 0.9459
Sm8 Sm 0.7500 0.5250 0.8899
Pb3 Pb 0.2500 0.0940 0.1849
Sm9 Sm 0.7500 0.1569 0.0305
Sm10 Sm 0.2500 0.9750 0.3899
Pb4 Pb 0.7500 0.4060 0.6849
Se3 Se 0.7500 0.6788 0.0541
Se4 Se 0.2500 0.8212 0.5541
Sm11 Sm 0.2500 0.1815 0.7824
Sm12 Sm 0.7500 0.0250 0.6101
```

***

- Look up the ρ of the second one.
  8.403 Mg/m³